No. 1
Li2Mg2Hg7 | PBE | optimized geometry

Cell: 4.713 12.930 7.956 Å, 90.00 90.00 90.00°
Space group Imm2 (No. 44)
Asymmetric unit:
Li 0.000 0.000 0.000
Li 0.000 0.500 0.217
Mg 0.000 0.219 0.232
Hg 0.000 0.000 0.345
Hg 0.000 0.130 0.718
Hg 0.000 0.352 0.936
Hg 0.000 0.374 0.526

Properties
- E_form (kJ per mole of atoms) = -18.2
- calculated density (g/cm3) = 10.0
- crystal system = orthorhombic
- energy above the most stable polymorph in this dataset (eV per formula unit) = 0.00

***

No. 2
AcGe2Ir | PBE | optimized geometry

Cell: 4.0996 4.0996 23.5105 Å, 90.00 90.00 120.00°
Space group R-3m (No. 166, hexagonal axes)
Asymmetric unit:
Ac 0.0000 0.0000 0.0000
Ge 0.0000 0.0000 0.1312
Ir 0.0000 0.0000 0.5000

Properties
- E_form (kJ per mole of atoms) = 2.3
- calculated density (g/cm3) = 8.2
- crystal system = trigonal
- energy above the most stable polymorph in this dataset (eV per formula unit) = 3.17

***

No. 3
Lu2PaBi | PBE | optimized geometry

Cell: 3.4583 3.4583 32.2553 Å, 90.00 90.00 120.00°
Space group R-3m (No. 166, hexagonal axes)
Asymmetric unit:
Lu 0.0000 0.0000 0.2499
Pa 0.0000 0.0000 0.0000
Bi 0.0000 0.0000 0.5000

Properties
- E_form (kJ per mole of atoms) = -9.9
- calculated density (g/cm3) = 11.8
- crystal system = trigonal
- energy above the most stable polymorph in this dataset (eV per formula unit) = 0.12

***

No. 4
EuHoZnAg | PBE | optimized geometry

Cell: 7.351 7.351 7.351 Å, 90.00 90.00 90.00°
Space group F-43m (No. 216)
Asymmetric unit:
Eu 0.000 0.000 0.000
Ho 0.000 0.000 0.500
Zn 0.250 0.250 0.250
Ag 0.250 0.250 0.750

Properties
- E_form (kJ per mole of atoms) = -25.5
- calculated density (g/cm3) = 8.2
- crystal system = cubic

***

No. 5
LiLu2Os | PBE | optimized geometry

Cell: 3.355 3.355 7.966 Å, 90.00 90.00 90.00°
Space group P4/mmm (No. 123)
Asymmetric unit:
Li 0.000 0.000 0.000
Lu 0.500 0.500 0.298
Os 0.000 0.000 0.500

Properties
- E_form (kJ per mole of atoms) = -23.5
- calculated density (g/cm3) = 10.1
- crystal system = tetragonal
- energy above the most stable polymorph in this dataset (eV per formula unit) = 0.29

***

Question: Which value of calculated density does entry 4 give?
Answer: 8.2 g/cm3

***

Question: Which value of E_form does entry 5 give?
Answer: -23.5 kJ per mole of atoms